A plane-wave DFT calculation with GGA-PBE was carried out for crystalline La12PmEr6 at its relaxed geometry.

Geometry as CIF:
```
data_La12PmEr6
_chemical_formula_sum 'La12 Pm1 Er6'
_cell_length_a 9.680
_cell_length_b 9.680
_cell_length_c 9.680
_cell_angle_alpha 110.83
_cell_angle_beta 110.83
_cell_angle_gamma 110.83
_space_group_name_H-M_alt 'P 1'
_space_group_IT_number 1
loop_
_space_group_symop_operation_xyz
'x,y,z'
loop_
_atom_site_label
_atom_site_fract_x
_atom_site_fract_y
_atom_site_fract_z
La1 0.057 0.580 0.372
La2 0.105 0.158 0.737
La3 0.158 0.737 0.105
La4 0.263 0.895 0.842
La5 0.372 0.057 0.580
La6 0.420 0.628 0.943
La7 0.580 0.372 0.057
La8 0.628 0.943 0.420
La9 0.737 0.105 0.158
La10 0.842 0.263 0.895
La11 0.895 0.842 0.263
La12 0.943 0.420 0.628
Pm1 0.000 0.000 0.000
Er1 0.217 0.320 0.472
Er2 0.320 0.472 0.217
Er3 0.472 0.217 0.320
Er4 0.528 0.783 0.680
Er5 0.680 0.528 0.783
Er6 0.783 0.680 0.528
```

Values from the calculation:
- uncorrected energy (eV/atom) = -4.778
- energy relative to the elements (meV per atom) = 24.8
- mass density (kg/m3) = 7075